Compound: NiPbN
Source: Alexandria via LeMat-Bulk
Functional: PBE
Structure: optimized geometry

Summary:
**E**: -0.4105 Ry per atom
**Formation energy (no corrections)**: 0.353 eV/atom
**Space-group type**: P-1

Cell: 3.668 5.424 6.542 Å, 113.47 91.07 109.34°
Fractional positions:
1 Ni 0.156 0.309 0.492
2 Ni 0.844 0.691 0.508
3 Pb 0.410 0.830 0.185
4 Pb 0.590 0.170 0.815
5 N 0.346 0.696 0.495
6 N 0.654 0.304 0.505



Compound: NiPb2N2
Source: Alexandria via LeMat-Bulk
Functional: PBE
Structure: optimized geometry

Summary:
**E**: -0.3946 Ry per atom
**Offset from the most stable computed form**: 0.0 kJ per mole of atoms
**Formation energy (no corrections)**: 0.600 eV/atom
**Space-group type**: I4/mmm

Cell: 5.080 5.080 5.080 Å, 120.10 120.10 89.83°
Fractional positions:
1 Ni 0.000 0.000 0.000
2 Pb 0.250 0.750 0.500
3 Pb 0.750 0.250 0.500
4 N 0.420 0.420 0.000
5 N 0.580 0.580 0.000



Compound: NiPbN2
Source: Alexandria via LeMat-Bulk
Functional: PBE
Structure: optimized geometry

Summary:
**E**: -0.4102 Ry per atom
**Formation energy (no corrections)**: 0.953 eV/atom
**Space-group type**: R-3m

Cell: 6.266 6.266 6.266 Å, 32.34 32.34 32.34°
Fractional positions:
1 Ni 0.000 0.000 0.000
2 Pb 0.500 0.500 0.500
3 N 0.098 0.098 0.098
4 N 0.902 0.902 0.902



Compound: NiPtPb2N
Source: Alexandria via LeMat-Bulk
Functional: PBE
Structure: optimized geometry

Summary:
**E**: -0.3646 Ry per atom
**Formation energy (no corrections)**: 0.552 eV/atom
**Space-group type**: P4/mmm

Cell: 5.309 5.309 3.745 Å, 90.00 90.00 90.00°
Fractional positions:
1 Ni 0.000 0.000 0.000
2 Pt 0.500 0.500 0.000
3 Pb 0.000 0.500 0.500
4 Pb 0.500 0.000 0.500
5 N 0.500 0.500 0.500



Compound: NiPtPbN2
Source: Alexandria via LeMat-Bulk
Functional: PBE
Structure: optimized geometry

Summary:
**E**: -0.3791 Ry per atom
**Formation energy (no corrections)**: 1.278 eV/atom
**Space-group type**: P4/mmm

Cell: 3.687 3.687 6.222 Å, 90.00 90.00 90.00°
Fractional positions:
1 Ni 0.000 0.000 0.000
2 Pt 0.500 0.500 0.500
3 Pb 0.000 0.000 0.500
4 N 0.000 0.500 0.000
5 N 0.500 0.000 0.000



Compound: ReNi2PbN
Source: Alexandria via LeMat-Bulk
Functional: PBE
Structure: optimized geometry

Summary:
**E**: -0.4624 Ry per atom
**Formation energy (no corrections)**: 0.918 eV/atom
**Space-group type**: P4/mmm

Cell: 3.810 3.810 4.964 Å, 90.00 90.00 90.00°
Fractional positions:
1 Re 0.000 0.000 0.000
2 Ni 0.000 0.500 0.500
3 Ni 0.500 0.000 0.500
4 Pb 0.500 0.500 0.000
5 N 0.500 0.500 0.500